This record from Alexandria via LeMat-Bulk describes a crystal of CuAu relaxed with PBEsol. The functional is SCAN.

Lattice parameters (Å, degrees): 6.147 6.147 6.147 90.00 90.00 90.00
Space group Fd-3m (No. 227, origin choice 2)
Symmetry-distinct sites (fractional):
Cu 0.125 0.125 0.125
Au 0.125 0.125 0.625

Calculated values
DOS(E_F) ... 0.48 states/eV/f.u.
E ... -674.55 eV/cell
DFT formation energy ... 0.019 eV/atom